This record from Alexandria via LeMat-Bulk describes crystalline CuTeO4 at its relaxed geometry. The functional is PBEsol.

Cell lengths 5.6067, 5.9571, 9.6021 Å; angles 90.00, 90.00, 90.00 degrees
With the nearest neighbours (Å) after each atom.
Space group Imma (No. 74)
One atom of each set of equivalent atoms:
Cu  0.2500  0.2500  0.2500 (multiplicity 4)  4 O 1.97
Te  0.0000  0.0000  0.0000 (multiplicity 4)  6 O 1.94-1.99
O  0.0000  0.0316  0.2007 (multiplicity 8)  1 Te 1.94, 2 Cu 1.97
O  0.2349  0.2500  0.9889 (multiplicity 8)  2 Te 1.99

***

This record from Alexandria via LeMat-Bulk describes crystalline La2MnSe at its relaxed geometry. The functional is PBEsol.

Cell lengths 3.5395, 3.5395, 8.2817 Å; angles 90.00, 90.00, 90.00 degrees
With the nearest neighbours (Å) after each atom.
Space group P4mm (No. 99)
One atom of each set of equivalent atoms:
La  0.0000  0.0000  0.0000 (multiplicity 1)  1 Mn 3.06, 4 Se 3.11
La  0.5000  0.5000  0.4021 (multiplicity 1)  1 Se 3.11, 4 Mn 3.14
Mn  0.0000  0.0000  0.6305 (multiplicity 1)  4 Se 2.78, 1 La 3.06
Se  0.5000  0.5000  0.7772 (multiplicity 1)  4 Mn 2.78, 5 La 3.11

***

This record from Alexandria via LeMat-Bulk describes crystalline KNa2Si12B3O30 at its relaxed geometry. The functional is PBEsol.

Cell lengths 10.3341, 10.3341, 13.5511 Å; angles 90.00, 90.00, 120.00 degrees
With the nearest neighbours (Å) after each atom.
Space group P6/mcc (No. 192)
One atom of each set of equivalent atoms:
K  0.0000  0.0000  0.2500 (multiplicity 2)  12 O 3.01
Na  0.3333  0.6667  0.2500 (multiplicity 4)  6 O 2.39
Si  0.0690  0.3373  0.1140 (multiplicity 24)  4 O 1.61-1.63
B  0.0000  0.5000  0.2500 (multiplicity 6)  4 O 1.47
O  0.0824  0.3918  0.0000 (multiplicity 12)  2 Si 1.63
O  0.0925  0.2815  0.3659 (multiplicity 24)  2 Si 1.63
O  0.1003  0.4715  0.1880 (multiplicity 24)  1 B 1.47, 1 Si 1.61

***

no.,electronic total energy (eV per atom),E_form (uncorrected) (kJ per mole of atoms)
1,-5.50,-66.9
2,-6.38,-29.3
3,-7.95,-261.7